<a>
Entry from the Alexandria database: an optimized crystal structure of LaCSN2 (GGA-PBE).

Calculated values
SG = P4/mmm
mass density = 5.63 g/cm³
spin magnetization = 0.26 μB/f.u.
calculated volume = 12.44 Å³/atom

abc: 4.021 4.021 3.848
angles: 90.00 90.00 90.00
Site moments in Bohr magnetons follow the coordinates.
Sites, in units of the cell vectors:
C (0.000, 0.000, 0.000)  0.00
N (0.000, 0.500, 0.000)  0.08
N (0.500, 0.000, 0.000)  0.08
S (0.000, 0.000, 0.500)  0.01
La (0.500, 0.500, 0.500)  0.00

---

<b>
Entry from the Alexandria database: an optimized crystal structure of LaCSN2 (GGA-PBE).

Calculated values
SG = P4/mmm
mass density = 3.45 g/cm³
spin magnetization = 0.32 μB/f.u.
calculated volume = 20.33 Å³/atom

abc: 4.036 4.036 6.240
angles: 90.00 90.00 90.00
Site moments in Bohr magnetons follow the coordinates.
Sites, in units of the cell vectors:
N (0.000, 0.500, 0.000)  -0.02
N (0.500, 0.000, 0.000)  -0.02
La (0.000, 0.000, 0.000)  0.00
S (0.000, 0.000, 0.500)  -0.32
C (0.500, 0.500, 0.500)  0.46

---

Which of them is the most stable? Correct choice: <a>.

---

<a>
Entry from the Alexandria database: an optimized crystal structure of LaCS2N (GGA-PBE).

Calculated values
SG = P4/mmm
mass density = 2.64 g/cm³
spin magnetization = 1.14 μB/f.u.
calculated volume = 28.77 Å³/atom

abc: 5.775 5.775 4.314
angles: 90.00 90.00 90.00
Site moments in Bohr magnetons follow the coordinates.
Sites, in units of the cell vectors:
La (0.000, 0.000, 0.000)  0.00
C (0.500, 0.500, 0.500)  0.85
S (0.500, 0.000, 0.000)  -0.66
S (0.000, 0.500, 0.000)  -0.66
N (0.000, 0.000, 0.500)  -0.45

---

<b>
Entry from the Alexandria database: an optimized crystal structure of LaCS2N (GGA-PBE).

Calculated values
SG = P4/mmm
mass density = 5.11 g/cm³
spin magnetization = 1.07 μB/f.u.
calculated volume = 14.88 Å³/atom

abc: 4.266 4.266 4.090
angles: 90.00 90.00 90.00
Site moments in Bohr magnetons follow the coordinates.
Sites, in units of the cell vectors:
C (0.000, 0.000, 0.000)  -0.02
La (0.500, 0.500, 0.500)  0.01
N (0.000, 0.000, 0.500)  0.57
S (0.500, 0.000, 0.000)  0.11
S (0.000, 0.500, 0.000)  0.11

---

Which of them is the most stable? Correct choice: <b>.

---

<a>
Entry from the Alexandria database: an optimized crystal structure of LaCSe2N (GGA-PBE).

Calculated values
SG = P4/mmm
mass density = 3.45 g/cm³
spin magnetization = 1.15 μB/f.u.
calculated volume = 31.06 Å³/atom

abc: 6.033 6.033 4.267
angles: 90.00 90.00 90.00
Site moments in Bohr magnetons follow the coordinates.
Sites, in units of the cell vectors:
Se (0.000, 0.500, 0.000)  -0.72
Se (0.500, 0.000, 0.000)  -0.72
La (0.000, 0.000, 0.000)  -0.01
N (0.000, 0.000, 0.500)  -0.35
C (0.500, 0.500, 0.500)  0.86

---

<b>
Entry from the Alexandria database: an optimized crystal structure of LaCSe2N (GGA-PBE).

Calculated values
SG = P4/mmm
mass density = 6.14 g/cm³
spin magnetization = 1.27 μB/f.u.
calculated volume = 17.46 Å³/atom

abc: 4.813 4.813 3.769
angles: 90.00 90.00 90.00
Site moments in Bohr magnetons follow the coordinates.
Sites, in units of the cell vectors:
C (0.000, 0.000, 0.000)  -0.07
La (0.500, 0.500, 0.500)  0.01
Se (0.500, 0.000, 0.000)  0.12
Se (0.000, 0.500, 0.000)  0.12
N (0.000, 0.000, 0.500)  0.74

---

Which of them is the most stable? Correct choice: <b>.

---

<a>
Entry from the Alexandria database: an optimized crystal structure of LaCSeN2 (GGA-PBE).

Calculated values
SG = P4/mmm
mass density = 6.26 g/cm³
spin magnetization = 0.31 μB/f.u.
calculated volume = 13.69 Å³/atom

abc: 4.122 4.122 4.028
angles: 90.00 90.00 90.00
Site moments in Bohr magnetons follow the coordinates.
Sites, in units of the cell vectors:
N (0.000, 0.500, 0.000)  0.10
N (0.500, 0.000, 0.000)  0.10
C (0.000, 0.000, 0.000)  0.01
La (0.500, 0.500, 0.500)  0.00
Se (0.000, 0.000, 0.500)  0.01

---

<b>
Entry from the Alexandria database: an optimized crystal structure of LaCSeN2 (GGA-PBE).

Calculated values
SG = P4/mmm
mass density = 3.97 g/cm³
spin magnetization = 0.36 μB/f.u.
calculated volume = 21.58 Å³/atom

abc: 4.024 4.024 6.665
angles: 90.00 90.00 90.00
Site moments in Bohr magnetons follow the coordinates.
Sites, in units of the cell vectors:
C (0.500, 0.500, 0.500)  0.42
N (0.000, 0.500, 0.000)  0.00
N (0.500, 0.000, 0.000)  0.00
Se (0.000, 0.000, 0.500)  -0.29
La (0.000, 0.000, 0.000)  0.00

---

Which of them is the most stable? Correct choice: <a>.

---

<a>
Entry from the Alexandria database: an optimized crystal structure of LaTeCN2 (GGA-PBE).

Calculated values
SG = P4/mmm
mass density = 6.44 g/cm³
spin magnetization = 0.59 μB/f.u.
calculated volume = 15.81 Å³/atom

abc: 4.313 4.313 4.250
angles: 90.00 90.00 90.00
Site moments in Bohr magnetons follow the coordinates.
Sites, in units of the cell vectors:
C (0.000, 0.000, 0.000)  -0.02
Te (0.000, 0.000, 0.500)  0.02
La (0.500, 0.500, 0.500)  0.00
N (0.500, 0.000, 0.000)  0.22
N (0.000, 0.500, 0.000)  0.22

---

<b>
Entry from the Alexandria database: an optimized crystal structure of LaTeCN2 (GGA-PBE).

Calculated values
SG = P4/mmm
mass density = 4.32 g/cm³
spin magnetization = 0.57 μB/f.u.
calculated volume = 23.57 Å³/atom

abc: 4.022 4.022 7.283
angles: 90.00 90.00 90.00
Site moments in Bohr magnetons follow the coordinates.
Sites, in units of the cell vectors:
Te (0.000, 0.000, 0.500)  -0.10
N (0.000, 0.500, 0.000)  0.01
N (0.500, 0.000, 0.000)  0.01
La (0.000, 0.000, 0.000)  0.00
C (0.500, 0.500, 0.500)  0.35

---

Which of them is the most stable? Correct choice: <a>.

---

<a>
Entry from the Alexandria database: an optimized crystal structure of NaLaC2O6 (GGA-PBE).

Calculated values
SG = C2/c
mass density = 3.31 g/cm³
spin magnetization = 0.00 μB/f.u.
calculated volume = 14.16 Å³/atom

abc: 6.521 6.521 7.292
angles: 99.85 99.85 107.42
Sites, in units of the cell vectors:
Na (0.099, 0.901, 0.250)
Na (0.901, 0.099, 0.750)
O (0.248, 0.141, 0.636)
O (0.964, 0.484, 0.232)
O (0.517, 0.297, 0.902)
O (0.483, 0.703, 0.098)
O (0.036, 0.516, 0.768)
O (0.516, 0.036, 0.268)
O (0.859, 0.752, 0.864)
O (0.484, 0.964, 0.732)
O (0.141, 0.248, 0.136)
O (0.752, 0.859, 0.364)
O (0.703, 0.483, 0.598)
O (0.297, 0.517, 0.402)
C (0.872, 0.588, 0.746)
C (0.588, 0.872, 0.246)
C (0.128, 0.412, 0.254)
C (0.412, 0.128, 0.754)
La (0.414, 0.586, 0.750)
La (0.586, 0.414, 0.250)

---

<b>
Entry from the Alexandria database: an optimized crystal structure of NaLaC2O6 (GGA-PBE).

Calculated values
SG = Pmc2_1
mass density = 3.79 g/cm³
spin magnetization = 0.00 μB/f.u.
calculated volume = 12.35 Å³/atom

abc: 5.222 6.517 7.259
angles: 90.00 90.00 90.00
Sites, in units of the cell vectors:
C (0.000, 0.084, 0.418)
C (0.500, 0.530, 0.174)
C (0.500, 0.470, 0.674)
C (0.000, 0.916, 0.918)
O (0.212, 0.011, 0.954)
O (0.718, 0.617, 0.211)
O (0.000, 0.265, 0.340)
O (0.282, 0.617, 0.211)
O (0.788, 0.989, 0.454)
O (0.500, 0.645, 0.589)
O (0.212, 0.989, 0.454)
O (0.000, 0.735, 0.840)
O (0.500, 0.355, 0.089)
O (0.788, 0.011, 0.954)
O (0.282, 0.383, 0.711)
O (0.718, 0.383, 0.711)
La (0.000, 0.365, 0.003)
La (0.000, 0.635, 0.503)
Na (0.500, 0.024, 0.702)
Na (0.500, 0.976, 0.202)

---

Which of them is the most stable? Correct choice: <b>.